An optimized crystal structure of Li2CeTa3N6, computed with PBE-GGA.

The structure in CIF format:
```
data_Li2CeTa3N6
_cell_length_a 7.196
_cell_length_b 7.196
_cell_length_c 6.571
_cell_angle_alpha 106.57
_cell_angle_beta 106.57
_cell_angle_gamma 25.21
_symmetry_space_group_name_H-M 'P 1'
_symmetry_Int_Tables_number 1
_symmetry_space_group_name_Hall 'P 1'
loop_
_atom_site_label
_atom_site_fract_x
_atom_site_fract_y
_atom_site_fract_z
Li1 0.178 0.178 0.366
Li2 0.822 0.822 0.634
Ce1 0.500 0.500 0.000
Ta1 0.173 0.173 0.825
Ta2 0.500 0.500 0.500
Ta3 0.827 0.827 0.175
N1 0.005 0.005 0.726
N2 0.327 0.327 0.937
N3 0.337 0.337 0.397
N4 0.663 0.663 0.603
N5 0.673 0.673 0.063
N6 0.995 0.995 0.274
```

* magnetization: 0.0 μB/cell
* E_form (uncorrected): -1.159 eV per atom